Density functional theory data (PBE) for a relaxed structure of TlRh2.

Computed properties:
**SG**: No. 63
**Formation energy from the elements**: 191 meV per atom
**Crystal system**: orthorhombic
**Energy**: -33.0 eV/cell

abc: 6.499 6.499 4.167
angles: 90.00 90.00 145.08
Atoms (fractional coordinates):
Tl1 0.092 0.908 0.750
Tl2 0.908 0.092 0.250
Rh1 0.251 0.749 0.250
Rh2 0.414 0.586 0.750
Rh3 0.586 0.414 0.250
Rh4 0.749 0.251 0.750